Computed, not measured: an optimized crystal structure of Rb2MnCdMo at the PBE-GGA level of DFT.

CIF file:
```
data_Rb2MnCdMo
_chemical_formula_sum 'Rb2 Mn1 Cd1 Mo1'
_cell_length_a 6.638
_cell_length_b 6.638
_cell_length_c 5.194
_cell_angle_alpha 90.00
_cell_angle_beta 90.00
_cell_angle_gamma 90.00
_space_group_name_H-M_alt 'P 4/m m m'
_space_group_IT_number 123
_space_group_name_Hall '-P 4 2'
loop_
_atom_site_label
_atom_site_fract_x
_atom_site_fract_y
_atom_site_fract_z
_atom_site_occupancy
Rb1 0.000 0.500 0.000 1
Mn1 0.000 0.000 0.000 1
Cd1 0.000 0.000 0.500 1
Mo1 0.500 0.500 0.500 1
```


Computed, not measured: an optimized crystal structure of Tb6MgFe2 at the PBE-GGA level of DFT.

CIF file:
```
data_Tb6MgFe2
_chemical_formula_sum 'Tb24 Mg4 Fe8'
_cell_length_a 9.530
_cell_length_b 9.721
_cell_length_c 10.098
_cell_angle_alpha 90.00
_cell_angle_beta 90.00
_cell_angle_gamma 90.00
_space_group_name_H-M_alt 'I m m m'
_space_group_IT_number 71
_space_group_name_Hall '-I 2 2'
loop_
_atom_site_label
_atom_site_fract_x
_atom_site_fract_y
_atom_site_fract_z
_atom_site_occupancy
Tb1 0.000 0.215 0.227 1
Tb2 0.202 0.500 0.191 1
Tb3 0.210 0.312 0.500 1
Mg1 0.000 0.000 0.000 1
Mg2 0.000 0.000 0.500 1
Fe1 0.000 0.386 0.000 1
Fe2 0.000 0.500 0.393 1
```


Computed, not measured: an optimized crystal structure of CuAsPd2 at the PBE-GGA level of DFT.

CIF file:
```
data_CuAsPd2
_chemical_formula_sum 'Cu3 As3 Pd6'
_cell_length_a 2.9615
_cell_length_b 2.9615
_cell_length_c 24.1624
_cell_angle_alpha 90.00
_cell_angle_beta 90.00
_cell_angle_gamma 120.00
_space_group_name_H-M_alt 'R 3 m'
_space_group_IT_number 160
_space_group_name_Hall 'R 3 -2"'
loop_
_atom_site_label
_atom_site_fract_x
_atom_site_fract_y
_atom_site_fract_z
_atom_site_occupancy
Cu1 0.0000 0.0000 0.0000 1
As1 0.0000 0.0000 0.1670 1
Pd1 0.0000 0.0000 0.5823 1
Pd2 0.0000 0.0000 0.7513 1
```


no.,V (A^3/atom),energy (eV/atom),formation energy from the elements (eV per atom)
1,45.770,-3.055,1.52
2,25.984,-5.168,-0.02
3,15.294,-4.883,-0.10